(1)
Computed, not measured: TbZr2 after structural relaxation at the PBE-GGA level of DFT.

a b c (Å): 5.856 5.856 5.282
angles (deg): 90.00 90.00 58.66
Sites, in units of the cell vectors:
Tb (0.182, 0.818, 0.750)
Tb (0.818, 0.182, 0.250)
Zr (0.165, 0.477, 0.250)
Zr (0.477, 0.165, 0.750)
Zr (0.523, 0.835, 0.250)
Zr (0.835, 0.523, 0.750)

Summary:
The formation enthalpy at 0 K comes out at 0.051 eV/atom. The calculation puts the magnetic moment at 0.01 μB per formula unit.

---

(2)
Computed, not measured: ZrInAgSe3 after structural relaxation at the PBE-GGA level of DFT.

a b c (Å): 7.413 7.413 10.487
angles (deg): 90.00 90.00 149.20
Sites, in units of the cell vectors:
Zr (0.000, 0.000, 0.000)
Zr (0.000, 0.000, 0.500)
In (0.254, 0.746, 0.750)
In (0.746, 0.254, 0.250)
Ag (0.448, 0.552, 0.250)
Ag (0.552, 0.448, 0.750)
Se (0.073, 0.927, 0.250)
Se (0.366, 0.634, 0.030)
Se (0.366, 0.634, 0.470)
Se (0.634, 0.366, 0.530)
Se (0.634, 0.366, 0.970)
Se (0.927, 0.073, 0.750)

Summary:
The calculation puts the energy above the most stable polymorph in this dataset at 0 meV per atom. The calculation puts the magnetic moment at 0.01 μB per formula unit.

---

(3)
Computed, not measured: Y2TmIn3Ir2Au after structural relaxation at the PBE-GGA level of DFT.

a b c (Å): 3.848 7.663 7.663
angles (deg): 119.38 90.00 90.00
Sites, in units of the cell vectors:
Y (0.000, 0.204, 0.796)
Y (0.000, 0.796, 0.204)
Tm (0.000, 0.387, 0.387)
In (0.500, 0.065, 0.065)
In (0.500, 0.526, 0.796)
In (0.500, 0.796, 0.526)
Ir (0.500, 0.135, 0.462)
Ir (0.500, 0.462, 0.135)
Au (0.000, 0.794, 0.794)

Summary:
The final energy comes out at -52.92 eV/cell. The calculation puts the magnetic moment at 0.00 μB per formula unit.

---

(4)
Computed, not measured: ErSn2 after structural relaxation at the PBE-GGA level of DFT.

a b c (Å): 9.838 9.838 9.838
angles (deg): 60.00 60.00 60.00
Sites, in units of the cell vectors:
Er (0.125, 0.125, 0.125)
Er (0.875, 0.875, 0.875)
Sn (0.000, 0.000, 0.000)
Sn (0.000, 0.000, 0.500)
Sn (0.000, 0.500, 0.000)
Sn (0.500, 0.000, 0.000)

Summary:
The final energy comes out at -17.78 eV/cell. The calculation puts the magnetic moment at 1.94 μB per formula unit.

---

(5)
Computed, not measured: SmGdGa4Pt2 after structural relaxation at the PBE-GGA level of DFT.

a b c (Å): 6.717 5.618 5.618
angles (deg): 46.27 90.00 90.00
Sites, in units of the cell vectors:
Sm (0.000, 0.000, 0.000)
Gd (0.500, 0.832, 0.832)
Ga (0.198, 0.285, 0.285)
Ga (0.305, 0.549, 0.549)
Ga (0.695, 0.549, 0.549)
Ga (0.802, 0.285, 0.285)
Pt (0.000, 0.712, 0.712)
Pt (0.500, 0.120, 0.120)

Summary:
The final energy comes out at -40.92 eV/cell. The calculation puts the magnetic moment at 0.01 μB per formula unit.

---

(6)
Computed, not measured: NaHoGaTe3 after structural relaxation at the PBE-GGA level of DFT.

a b c (Å): 11.458 4.455 14.743
angles (deg): 90.00 90.00 90.00
Sites, in units of the cell vectors:
Na (0.223, 0.250, 0.013)
Na (0.277, 0.750, 0.513)
Na (0.723, 0.250, 0.487)
Na (0.777, 0.750, 0.987)
Ho (0.023, 0.750, 0.739)
Ho (0.477, 0.250, 0.239)
Ho (0.523, 0.750, 0.761)
Ho (0.977, 0.250, 0.261)
Ga (0.243, 0.750, 0.224)
Ga (0.257, 0.250, 0.724)
Ga (0.743, 0.750, 0.276)
Ga (0.757, 0.250, 0.776)
Te (0.042, 0.750, 0.123)
Te (0.076, 0.250, 0.598)
Te (0.232, 0.250, 0.339)
Te (0.268, 0.750, 0.839)
Te (0.424, 0.750, 0.098)
Te (0.458, 0.250, 0.623)
Te (0.542, 0.750, 0.377)
Te (0.576, 0.250, 0.902)
Te (0.732, 0.250, 0.161)
Te (0.768, 0.750, 0.661)
Te (0.924, 0.750, 0.402)
Te (0.958, 0.250, 0.877)

Summary:
The calculation puts the energy above the most stable polymorph in this dataset at 4 meV per atom. The calculation puts the magnetic moment at 0.00 μB per formula unit.

---

(7)
Computed, not measured: PmHoNp after structural relaxation at the PBE-GGA level of DFT.

a b c (Å): 5.341 5.341 5.341
angles (deg): 60.00 60.00 60.00
Sites, in units of the cell vectors:
Pm (0.000, 0.000, 0.000)
Ho (0.750, 0.750, 0.750)
Np (0.500, 0.500, 0.500)

Summary:
The formation enthalpy at 0 K comes out at 1.167 eV/atom. The calculation puts the energy above the most stable polymorph in this dataset at 0 meV per atom. The calculation puts the magnetic moment at 5.04 μB per formula unit.

---

(8)
Computed, not measured: AgGe2Pd after structural relaxation at the PBE-GGA level of DFT.

a b c (Å): 4.617 4.617 4.617
angles (deg): 60.00 60.00 60.00
Sites, in units of the cell vectors:
Ag (0.000, 0.000, 0.000)
Ge (0.250, 0.250, 0.250)
Ge (0.500, 0.500, 0.500)
Pd (0.750, 0.750, 0.750)

Summary:
The final energy comes out at -16.79 eV/cell.

---

(9)
Computed, not measured: Ag2HgI2Cl2 after structural relaxation at the PBE-GGA level of DFT.

a b c (Å): 7.486 7.486 6.342
angles (deg): 113.63 113.63 108.70
Sites, in units of the cell vectors:
Ag (0.000, 0.000, 0.000)
Ag (0.767, 0.233, 0.500)
Hg (0.510, 0.490, 0.000)
I (0.366, 0.088, 0.493)
I (0.912, 0.634, 0.507)
Cl (0.132, 0.369, 0.988)
Cl (0.631, 0.868, 0.012)

Summary:
The final energy comes out at -15.52 eV/cell.

---

(10)
Computed, not measured: Be2MoAs after structural relaxation at the PBE-GGA level of DFT.

a b c (Å): 4.168 4.168 4.168
angles (deg): 60.00 60.00 60.00
Sites, in units of the cell vectors:
Be (0.000, 0.000, 0.000)
Be (0.250, 0.250, 0.250)
Mo (0.500, 0.500, 0.500)
As (0.750, 0.750, 0.750)

Summary:
The final energy comes out at -20.92 eV/cell. The calculation puts the magnetic moment at 0.13 μB per formula unit.

---

(11)
Computed, not measured: HoAs after structural relaxation at the PBE-GGA level of DFT.

a b c (Å): 4.551 4.551 4.551
angles (deg): 60.00 60.00 60.00
Sites, in units of the cell vectors:
Ho (0.000, 0.000, 0.000)
As (0.250, 0.250, 0.250)

Summary:
The final energy comes out at -11.22 eV/cell. The calculation puts the magnetic moment at 0.00 μB per formula unit.

---

(12)
Computed, not measured: U2BiC after structural relaxation at the PBE-GGA level of DFT.

a b c (Å): 5.725 5.725 5.728
angles (deg): 90.00 90.00 76.35
Sites, in units of the cell vectors:
U (0.035, 0.683, 0.750)
U (0.317, 0.965, 0.750)
U (0.683, 0.035, 0.250)
U (0.965, 0.317, 0.250)
Bi (0.372, 0.628, 0.250)
Bi (0.628, 0.372, 0.750)
C (0.000, 0.000, 0.000)
C (0.000, 0.000, 0.500)

Summary:
The final energy comes out at -68.83 eV/cell. The calculation puts the magnetic moment at 4.39 μB per formula unit.

---

(13)
Computed, not measured: HfPt3F after structural relaxation at the PBE-GGA level of DFT.

a b c (Å): 4.355 4.355 4.355
angles (deg): 90.00 90.00 90.00
Sites, in units of the cell vectors:
Hf (0.000, 0.000, 0.000)
Pt (0.000, 0.500, 0.500)
Pt (0.500, 0.000, 0.500)
Pt (0.500, 0.500, 0.000)
F (0.500, 0.500, 0.500)

Summary:
The final energy comes out at -29.59 eV/cell. The calculation puts the magnetic moment at 0.01 μB per formula unit.

---

(14)
Computed, not measured: AsH6PtAu after structural relaxation at the PBE-GGA level of DFT.

a b c (Å): 4.936 4.936 4.936
angles (deg): 60.00 60.00 60.00
Sites, in units of the cell vectors:
As (0.000, 0.000, 0.000)
H (0.004, 0.004, 0.496)
H (0.004, 0.496, 0.004)
H (0.004, 0.496, 0.496)
H (0.496, 0.004, 0.004)
H (0.496, 0.004, 0.496)
H (0.496, 0.496, 0.004)
Pt (0.250, 0.250, 0.250)
Au (0.500, 0.500, 0.500)

Summary:
The final energy comes out at -29.17 eV/cell. The calculation puts the magnetic moment at 0.03 μB per formula unit.

---

(15)
Computed, not measured: Sc2CuTc after structural relaxation at the PBE-GGA level of DFT.

a b c (Å): 4.573 4.573 4.573
angles (deg): 119.96 119.96 90.07
Sites, in units of the cell vectors:
Sc (0.250, 0.750, 0.500)
Sc (0.750, 0.250, 0.500)
Cu (0.000, 0.000, 0.000)
Tc (0.500, 0.500, 0.000)

Summary:
The formation enthalpy at 0 K comes out at -0.254 eV/atom. The calculation puts the magnetic moment at 0.00 μB per formula unit.

---

(16)
Computed, not measured: Cs2KAs2Pd3 after structural relaxation at the PBE-GGA level of DFT.

a b c (Å): 8.178 8.178 8.178
angles (deg): 43.43 43.43 43.43
Sites, in units of the cell vectors:
Cs (0.088, 0.088, 0.088)
Cs (0.912, 0.912, 0.912)
K (0.500, 0.500, 0.500)
As (0.254, 0.254, 0.254)
As (0.746, 0.746, 0.746)
Pd (0.000, 0.500, 0.500)
Pd (0.500, 0.000, 0.500)
Pd (0.500, 0.500, 0.000)

Summary:
The final energy comes out at -30.30 eV/cell.